Crystalline CaMoIO4 at its relaxed geometry. Source: Alexandria, functional PBE+U.

Values from the calculation:
* E_tot: -0.22793 hartree per atom

Cell: 7.0804 7.0804 7.0759 Å, 101.91 101.91 55.88°
Fractional positions:
Ca 0.2064 0.2064 0.3305
Ca 0.7936 0.7936 0.6695
Mo 0.1302 0.1302 0.7468
Mo 0.8698 0.8698 0.2532
I 0.4640 0.4640 0.8065
I 0.5360 0.5360 0.1935
O 0.0154 0.0154 0.2882
O 0.0375 0.6088 0.3733
O 0.1913 0.1913 0.0008
O 0.3912 0.9625 0.6267
O 0.6088 0.0375 0.3733
O 0.8087 0.8087 0.9992
O 0.9625 0.3912 0.6267
O 0.9846 0.9846 0.7118